Record 1
Here is a geometry-optimized Cd2TeMo structure from the Alexandria database. Energies are from GGA-PBE.

The structure in POSCAR format:
```
Cd2TeMo
1.0
4.966 0.000 0.000
2.483 4.300 0.000
2.483 1.433 4.054
Cd Mo Te
2 1 1
direct
0.000 0.000 0.000
0.250 0.250 0.250
0.500 0.500 0.500
0.750 0.750 0.750
```

Calculated values
- Symmetry: F-43m
- Uncorrected formation energy: 0.619 eV/atom

***

Record 2
Here is a geometry-optimized Cd2TeMo structure from the Alexandria database. Energies are from GGA-PBE.

The structure in POSCAR format:
```
Cd2TeMo
1.0
-3.073 -9.934 4.328
-0.451 -9.608 5.860
-3.016 -8.346 6.936
Cd Mo Te
2 1 1
direct
0.988 0.988 0.988
0.512 0.512 0.512
0.250 0.250 0.250
0.750 0.750 0.750
```

Calculated values
- Symmetry: R-3m
- Uncorrected formation energy: 0.493 eV/atom

***

Record 3
Here is a geometry-optimized Cd2TeMo structure from the Alexandria database. Energies are from GGA-PBE.

The structure in POSCAR format:
```
Cd2TeMo
1.0
5.940 0.024 -0.039
3.187 5.012 0.039
-4.304 -2.987 2.798
Cd Mo Te
2 1 1
direct
0.988 0.988 0.000
0.512 0.512 0.000
0.750 0.250 0.500
0.250 0.750 0.500
```

Calculated values
- Symmetry: Immm
- Uncorrected formation energy: 0.483 eV/atom

***

Record 4
Here is a geometry-optimized Cd2TeMo structure from the Alexandria database. Energies are from GGA-PBE.

The structure in POSCAR format:
```
Cd2TeMo
1.0
7.077 0.018 0.000
4.675 5.313 0.000
-5.406 -3.701 2.675
Cd Mo Te
2 1 1
direct
0.018 0.018 0.000
0.673 0.173 0.500
0.486 0.486 0.000
0.324 0.824 0.500
```

Calculated values
- Symmetry: Imm2
- Uncorrected formation energy: 0.293 eV/atom

***

Question: What is the uncorrected formation energy in the second record?
Answer: 0.493 eV/atom